[1]
## HoTm3Cu (PBE)

Data for a geometry-optimized HoTm3Cu structure.

```
HoTm3Cu
1.0
5.2928 0.0000 0.0000
0.0000 5.2928 0.0000
0.0000 0.0000 5.2928
Ho Tm Cu
1 3 1
Direct
0.0000 0.0000 0.0000
0.0000 0.5000 0.5000
0.5000 0.0000 0.5000
0.5000 0.5000 0.0000
0.5000 0.5000 0.5000
```

Summary:
- space-group type = Pm-3m (221)
- uncorrected energy (eV per atom) = -4.299

=====

[2]
## HoTm2Cu3 (PBE)

Data for a geometry-optimized HoTm2Cu3 structure.

```
HoTm2Cu3
1.0
3.4202 0.0000 0.0000
0.0000 3.4202 0.0000
0.0000 0.0000 10.3303
Ho Tm Cu
1 2 3
Direct
0.0000 0.0000 0.0000
0.0000 0.0000 0.3345
0.0000 0.0000 0.6655
0.5000 0.5000 0.1699
0.5000 0.5000 0.5000
0.5000 0.5000 0.8301
```

Summary:
- space-group type = P4/mmm (123)
- uncorrected energy (eV per atom) = -4.588

=====

[3]
## Ho2Tm2Cu3 (PBE)

Data for a geometry-optimized Ho2Tm2Cu3 structure.

```
Ho2Tm2Cu3
1.0
4.1778 -2.4070 0.0000
4.1778 2.4070 0.0000
-2.8160 0.0000 7.9061
Ho Tm Cu
2 2 3
Direct
0.1239 0.1239 0.3753
0.8761 0.8761 0.6247
0.3744 0.3744 0.1256
0.6256 0.6256 0.8744
0.0000 0.0000 0.0000
0.2512 0.2512 0.7530
0.7488 0.7488 0.2470
```

Summary:
- space-group type = C2/m (12)
- uncorrected energy (eV per atom) = -4.493

=====

[4]
## Ho4TmCu2 (PBE)

Data for a geometry-optimized Ho4TmCu2 structure.

```
Ho4TmCu2
1.0
2.4433 1.4106 9.3727
-2.4433 1.4106 9.3727
0.0000 -2.8212 9.3727
Ho Tm Cu
4 1 2
Direct
0.1000 0.1000 0.1000
0.2980 0.2980 0.2980
0.7020 0.7020 0.7020
0.9000 0.9000 0.9000
0.5000 0.5000 0.5000
0.3996 0.3996 0.3996
0.6004 0.6004 0.6004
```

Summary:
- space-group type = R-3m (166)
- uncorrected energy (eV per atom) = -4.269

=====

[5]
## HoTm2Cu (PBE)

Data for a geometry-optimized HoTm2Cu structure.

```
HoTm2Cu
1.0
1.7708 1.0224 9.7551
-1.7708 1.0224 9.7551
0.0000 -2.0447 9.7551
Ho Tm Cu
1 2 1
Direct
0.0000 0.0000 0.0000
0.2347 0.2347 0.2347
0.7653 0.7653 0.7653
0.5000 0.5000 0.5000
```

Summary:
- energy above the lowest structure with this stoichiometry (eV per formula unit) = 0.58
- space-group type = R-3m (166)
- uncorrected energy (eV per atom) = -4.382

=====

[6]
## Ho2TmCu (PBE)

Data for a geometry-optimized Ho2TmCu structure.

```
Ho2TmCu
1.0
3.4604 0.0000 0.0000
0.0000 3.4604 0.0000
0.0000 0.0000 8.5986
Ho Tm Cu
2 1 1
Direct
0.0000 0.0000 0.2006
0.0000 0.0000 0.7994
0.5000 0.5000 0.5000
0.5000 0.5000 0.0000
```

Summary:
- energy above the lowest structure with this stoichiometry (eV per formula unit) = 0.08
- space-group type = P4/mmm (123)
- uncorrected energy (eV per atom) = -4.528

=====

[7]
## Ho2TmCu9 (PBE)

Data for a geometry-optimized Ho2TmCu9 structure.

```
Ho2TmCu9
1.0
2.5589 1.4774 8.3262
-2.5589 1.4774 8.3262
0.0000 -2.9547 8.3262
Ho Tm Cu
2 1 9
Direct
0.1403 0.1403 0.1403
0.8597 0.8597 0.8597
0.0000 0.0000 0.0000
0.0816 0.5820 0.5820
0.3325 0.3325 0.3325
0.4180 0.4180 0.9184
0.4180 0.9184 0.4180
0.5000 0.5000 0.5000
0.5820 0.0816 0.5820
0.5820 0.5820 0.0816
0.6675 0.6675 0.6675
0.9184 0.4180 0.4180
```

Summary:
- space-group type = R-3m (166)
- uncorrected energy (eV per atom) = -4.418

=====

[8]
## Ho2TmCu (PBE)

Data for a geometry-optimized Ho2TmCu structure.

```
Ho2TmCu
1.0
1.7685 1.0210 9.8376
-1.7685 1.0210 9.8376
0.0000 -2.0420 9.8376
Ho Tm Cu
2 1 1
Direct
0.2359 0.2359 0.2359
0.7641 0.7641 0.7641
0.0000 0.0000 0.0000
0.5000 0.5000 0.5000
```

Summary:
- energy above the lowest structure with this stoichiometry (eV per formula unit) = 0.60
- space-group type = R-3m (166)
- uncorrected energy (eV per atom) = -4.398

=====

[9]
## HoTm2Cu (PBE)

Data for a geometry-optimized HoTm2Cu structure.

```
HoTm2Cu
1.0
6.7435 0.0000 0.0000
0.0000 9.5599 0.0000
0.0000 0.0000 6.4157
Ho Tm Cu
4 8 4
Direct
0.0161 0.2500 0.1286
0.4839 0.7500 0.6286
0.5161 0.2500 0.3714
0.9839 0.7500 0.8714
0.1904 0.0590 0.6878
0.1904 0.4410 0.6878
0.3096 0.5590 0.1878
0.3096 0.9410 0.1878
0.6904 0.0590 0.8122
0.6904 0.4410 0.8122
0.8096 0.5590 0.3122
0.8096 0.9410 0.3122
0.0936 0.7500 0.4495
0.4064 0.2500 0.9495
0.5936 0.7500 0.0505
0.9064 0.2500 0.5505
```

Summary:
- energy above the lowest structure with this stoichiometry (eV per formula unit) = 0.00
- space-group type = Pnma (62)
- uncorrected energy (eV per atom) = -4.527

=====

[10]
## YHoTmCu (PBE)

Data for a geometry-optimized YHoTmCu structure.

```
YHoTmCu
1.0
3.4620 0.0000 0.0000
0.0000 3.4620 0.0000
0.0000 0.0000 8.6876
Y Ho Tm Cu
1 1 1 1
Direct
0.0000 0.0000 0.0000
0.5000 0.5000 0.6946
0.5000 0.5000 0.3028
0.0000 0.0000 0.4932
```

Summary:
- space-group type = P4mm (99)
- uncorrected energy (eV per atom) = -5.011

=====

[11]
## HoTmZnCu (PBE)

Data for a geometry-optimized HoTmZnCu structure.

```
HoTmZnCu
1.0
3.4809 0.0000 0.0000
0.0000 3.4809 0.0000
0.0000 0.0000 6.9841
Ho Tm Zn Cu
1 1 1 1
Direct
0.0000 0.0000 0.0000
0.0000 0.0000 0.5140
0.5000 0.5000 0.2604
0.5000 0.5000 0.7521
```

Summary:
- energy above the lowest structure with this stoichiometry (eV per formula unit) = 0.00
- space-group type = P4mm (99)
- uncorrected energy (eV per atom) = -3.917

=====

[12]
## HoTmZnCu (PBE)

Data for a geometry-optimized HoTmZnCu structure.

```
HoTmZnCu
1.0
0.0000 3.4849 3.4849
3.4849 0.0000 3.4849
3.4849 3.4849 0.0000
Ho Tm Zn Cu
1 1 1 1
Direct
0.0000 0.0000 0.0000
0.5000 0.5000 0.5000
0.7500 0.7500 0.7500
0.2500 0.2500 0.2500
```

Summary:
- energy above the lowest structure with this stoichiometry (eV per formula unit) = 0.03
- space-group type = F-43m (216)
- uncorrected energy (eV per atom) = -3.908

=====

[13]
## HoVCu (PBE)

Data for a geometry-optimized HoVCu structure.

```
HoVCu
1.0
3.4327 0.0000 0.0000
0.0000 3.4327 0.0000
0.0000 0.0000 9.4899
Ho V Cu
2 2 2
Direct
0.0000 0.0000 0.1843
0.0000 0.0000 0.8157
0.5000 0.5000 0.3964
0.5000 0.5000 0.6036
0.0000 0.0000 0.5000
0.5000 0.5000 0.0000
```

Summary:
- space-group type = P4/mmm (123)
- uncorrected energy (eV per atom) = -5.782

=====

[14]
## Y2HoCu2 (PBE)

Data for a geometry-optimized Y2HoCu2 structure.

```
Y2HoCu2
1.0
1.7546 -13.0105 0.0000
1.7546 13.0105 0.0000
0.0000 0.0000 5.0612
Y Ho Cu
4 2 4
Direct
0.0463 0.9537 0.7500
0.2289 0.7711 0.7500
0.7711 0.2289 0.2500
0.9537 0.0463 0.2500
0.1410 0.8590 0.2500
0.8590 0.1410 0.7500
0.3612 0.6388 0.2500
0.4527 0.5473 0.7500
0.5473 0.4527 0.2500
0.6388 0.3612 0.7500
```

Summary:
- energy above the lowest structure with this stoichiometry (eV per formula unit) = 0.00
- space-group type = Cmcm (63)
- uncorrected energy (eV per atom) = -5.303

=====

[15]
## Y3HoCu4 (PBE)

Data for a geometry-optimized Y3HoCu4 structure.

```
Y3HoCu4
1.0
3.4623 0.0000 0.0000
0.0000 4.9220 0.0000
0.0000 0.0000 9.8506
Y Ho Cu
3 1 4
Direct
0.0000 0.0000 0.0000
0.0000 0.5000 0.2505
0.0000 0.5000 0.7495
0.0000 0.0000 0.5000
0.5000 0.0000 0.2517
0.5000 0.0000 0.7483
0.5000 0.5000 0.0000
0.5000 0.5000 0.5000
```

Summary:
- space-group type = Pmmm (47)
- uncorrected energy (eV per atom) = -5.292

=====

[16]
## YHoCu10 (PBE)

Data for a geometry-optimized YHoCu10 structure.

```
YHoCu10
1.0
4.0959 0.0000 0.0000
0.0000 5.0533 0.0000
0.0000 0.0000 8.6697
Y Ho Cu
1 1 10
Direct
0.0000 0.0000 0.0000
0.0000 0.5000 0.5000
0.0000 0.0000 0.3344
0.0000 0.0000 0.6656
0.0000 0.5000 0.1676
0.0000 0.5000 0.8324
0.5000 0.0000 0.5000
0.5000 0.2503 0.2506
0.5000 0.2503 0.7494
0.5000 0.5000 0.0000
0.5000 0.7497 0.2506
0.5000 0.7497 0.7494
```

Summary:
- space-group type = Pmmm (47)
- uncorrected energy (eV per atom) = -4.526

=====

[17]
## Y3Ho2Cu2 (PBE)

Data for a geometry-optimized Y3Ho2Cu2 structure.

```
Y3Ho2Cu2
1.0
6.2658 -1.8032 0.0000
6.2658 1.8032 0.0000
-4.0553 0.0000 8.0741
Y Ho Cu
3 2 2
Direct
0.0000 0.0000 0.0000
0.1131 0.1131 0.4418
0.8869 0.8869 0.5582
0.3426 0.3426 0.1858
0.6574 0.6574 0.8142
0.3268 0.3268 0.7712
0.6732 0.6732 0.2288
```

Summary:
- space-group type = C2/m (12)
- uncorrected energy (eV per atom) = -5.366

=====

[18]
## Y2HoCu (PBE)

Data for a geometry-optimized Y2HoCu structure.

```
Y2HoCu
1.0
6.8444 0.0000 0.0000
0.0000 9.7220 0.0000
0.0000 0.0000 6.5051
Y Ho Cu
8 4 4
Direct
0.1911 0.0601 0.1866
0.1911 0.4399 0.1866
0.3089 0.5601 0.6866
0.3089 0.9399 0.6866
0.6911 0.0601 0.3134
0.6911 0.4399 0.3134
0.8089 0.5601 0.8134
0.8089 0.9399 0.8134
0.0205 0.2500 0.6335
0.4795 0.7500 0.1335
0.5205 0.2500 0.8665
0.9795 0.7500 0.3665
0.0959 0.7500 0.9526
0.4041 0.2500 0.4526
0.5959 0.7500 0.5474
0.9041 0.2500 0.0474
```

Summary:
- energy above the lowest structure with this stoichiometry (eV per formula unit) = 0.00
- space-group type = Pnma (62)
- uncorrected energy (eV per atom) = -5.512

=====

[19]
## Y2HoCu2 (PBE)

Data for a geometry-optimized Y2HoCu2 structure.

```
Y2HoCu2
1.0
7.8666 0.0000 0.0000
0.0000 7.8666 0.0000
0.0000 0.0000 3.7896
Y Ho Cu
4 2 4
Direct
0.1646 0.3354 0.0000
0.3354 0.8354 0.0000
0.6646 0.1646 0.0000
0.8354 0.6646 0.0000
0.0000 0.0000 0.5000
0.5000 0.5000 0.5000
0.1227 0.6227 0.5000
0.3773 0.1227 0.5000
0.6227 0.8773 0.5000
0.8773 0.3773 0.5000
```

Summary:
- energy above the lowest structure with this stoichiometry (eV per formula unit) = 0.01
- space-group type = P4/mbm (127)
- uncorrected energy (eV per atom) = -5.300

=====

[20]
## Y2HoCu (PBE)

Data for a geometry-optimized Y2HoCu structure.

```
Y2HoCu
1.0
3.4969 0.0000 0.0000
0.0000 3.4969 0.0000
0.0000 0.0000 8.7089
Y Ho Cu
2 1 1
Direct
0.0000 0.0000 0.1991
0.0000 0.0000 0.8009
0.5000 0.5000 0.5000
0.5000 0.5000 0.0000
```

Summary:
- energy above the lowest structure with this stoichiometry (eV per formula unit) = 0.10
- space-group type = P4/mmm (123)
- uncorrected energy (eV per atom) = -5.487

=====

[21]
## Y3Ho3Cu4 (PBE)

Data for a geometry-optimized Y3Ho3Cu4 structure.

```
Y3Ho3Cu4
1.0
3.7662 0.0000 0.0000
0.0000 5.5689 5.5617
0.0000 -5.5689 5.5617
Y Ho Cu
3 3 4
Direct
0.0000 0.0000 0.0000
0.0000 0.5007 0.8300
0.0000 0.8300 0.5007
0.0000 0.3285 0.3285
0.5000 0.1665 0.6632
0.5000 0.6632 0.1665
0.5000 0.0443 0.2881
0.5000 0.2881 0.0443
0.5000 0.5408 0.5408
0.5000 0.7878 0.7878
```

Summary:
- space-group type = Amm2 (38)
- uncorrected energy (eV per atom) = -5.113

=====

[22]
## YHo5Cu6 (PBE)

Data for a geometry-optimized YHo5Cu6 structure.

```
YHo5Cu6
1.0
2.4531 -7.3627 0.0000
2.4531 7.3627 0.0000
0.0000 0.0000 6.8600
Y Ho Cu
1 5 6
Direct
0.0000 0.0000 0.0000
0.0000 0.0000 0.5000
0.3331 0.6669 0.0000
0.3338 0.6662 0.5000
0.6662 0.3338 0.5000
0.6669 0.3331 0.0000
0.1683 0.8317 0.2510
0.1683 0.8317 0.7490
0.5000 0.5000 0.2526
0.5000 0.5000 0.7474
0.8317 0.1683 0.2510
0.8317 0.1683 0.7490
```

Summary:
- space-group type = Cmmm (65)
- uncorrected energy (eV per atom) = -4.759

=====

[23]
## YHo3Cu2 (PBE)

Data for a geometry-optimized YHo3Cu2 structure.

```
YHo3Cu2
1.0
4.8851 0.0000 0.0000
0.0000 8.6679 0.0000
0.0000 0.0000 6.8955
Y Ho Cu
2 6 4
Direct
0.0000 0.0750 0.0000
0.0000 0.9250 0.5000
0.0000 0.3357 0.6291
0.0000 0.6643 0.1291
0.5000 0.1678 0.3419
0.5000 0.4238 0.9696
0.5000 0.5762 0.4696
0.5000 0.8322 0.8419
0.0000 0.3499 0.2276
0.0000 0.6501 0.7276
0.5000 0.1503 0.7428
0.5000 0.8497 0.2428
```

Summary:
- energy above the lowest structure with this stoichiometry (eV per formula unit) = 0.00
- space-group type = Pmc2_1 (26)
- uncorrected energy (eV per atom) = -4.905

=====

[24]
## Y2Ho3Cu2 (PBE)

Data for a geometry-optimized Y2Ho3Cu2 structure.

```
Y2Ho3Cu2
1.0
6.1892 -1.8186 0.0000
6.1892 1.8186 0.0000
-4.0659 0.0000 8.0276
Y Ho Cu
2 3 2
Direct
0.1545 0.1545 0.3117
0.8455 0.8455 0.6883
0.3852 0.3852 0.0564
0.5000 0.5000 0.5000
0.6148 0.6148 0.9436
0.1687 0.1687 0.7298
0.8313 0.8313 0.2702
```

Summary:
- space-group type = C2/m (12)
- uncorrected energy (eV per atom) = -5.109

=====

[25]
## YHoCu (PBE)

Data for a geometry-optimized YHoCu structure.

```
YHoCu
1.0
6.4337 -1.7345 0.0000
6.4337 1.7345 0.0000
-1.8735 0.0000 6.6812
Y Ho Cu
2 2 2
Direct
0.1382 0.1382 0.0689
0.8618 0.8618 0.9311
0.1392 0.1392 0.5696
0.8608 0.8608 0.4304
0.4997 0.4997 0.2610
0.5003 0.5003 0.7390
```

Summary:
- energy above the lowest structure with this stoichiometry (eV per formula unit) = 0.12
- space-group type = C2/m (12)
- uncorrected energy (eV per atom) = -5.180